Entry 1:
Below is a geometry-optimized Li2LaPt structure, with properties calculated at the PBEsol level.

## Properties
Offset from the most stable computed form in meV/atom: 51.0
Density in Mg/m³: 6.74

The structure in CIF format:
```
data_Li2LaPt
_cell_length_a 5.6064
_cell_length_b 5.9639
_cell_length_c 5.1291
_cell_angle_alpha 90.00
_cell_angle_beta 90.00
_cell_angle_gamma 90.00
_symmetry_space_group_name_H-M 'C m m m'
_symmetry_Int_Tables_number 65
_symmetry_space_group_name_Hall '-C 2 2'
loop_
_atom_site_label
_atom_site_type_symbol
_atom_site_fract_x
_atom_site_fract_y
_atom_site_fract_z
Li1 Li 0.0000 0.1917 0.0000
La1 La 0.0000 0.5000 0.5000
Pt1 Pt 0.0000 0.0000 0.5000
```


Entry 2:
Below is a geometry-optimized Li4LaPt structure, with properties calculated at the PBEsol level.

## Properties
Density in Mg/m³: 5.91

The structure in CIF format:
```
data_Li4LaPt
_cell_length_a 7.4101
_cell_length_b 7.4101
_cell_length_c 7.4101
_cell_angle_alpha 90.00
_cell_angle_beta 90.00
_cell_angle_gamma 90.00
_symmetry_space_group_name_H-M 'F -4 3 m'
_symmetry_Int_Tables_number 216
_symmetry_space_group_name_Hall 'F -4 2 3'
loop_
_atom_site_label
_atom_site_type_symbol
_atom_site_fract_x
_atom_site_fract_y
_atom_site_fract_z
Li1 Li 0.1214 0.1214 0.1214
La1 La 0.0000 0.0000 0.5000
Pt1 Pt 0.2500 0.2500 0.7500
```


Entry 3:
Below is a geometry-optimized LiLa3Pt structure, with properties calculated at the PBEsol level.

## Properties
Density in Mg/m³: 5.59

The structure in CIF format:
```
data_LiLa3Pt
_cell_length_a 5.6869
_cell_length_b 5.6869
_cell_length_c 5.6869
_cell_angle_alpha 90.00
_cell_angle_beta 90.00
_cell_angle_gamma 90.00
_symmetry_space_group_name_H-M 'P m -3 m'
_symmetry_Int_Tables_number 221
_symmetry_space_group_name_Hall '-P 4 2 3'
loop_
_atom_site_label
_atom_site_type_symbol
_atom_site_fract_x
_atom_site_fract_y
_atom_site_fract_z
Li1 Li 0.0000 0.0000 0.0000
La1 La 0.0000 0.5000 0.5000
Pt1 Pt 0.5000 0.5000 0.5000
```


Entry 4:
Below is a geometry-optimized Li2LaPt structure, with properties calculated at the PBEsol level.

## Properties
Offset from the most stable computed form in meV/atom: 364.3
Density in Mg/m³: 7.80

The structure in CIF format:
```
data_Li2LaPt
_cell_length_a 5.5011
_cell_length_b 8.4238
_cell_length_c 3.1973
_cell_angle_alpha 90.00
_cell_angle_beta 90.00
_cell_angle_gamma 90.00
_symmetry_space_group_name_H-M 'C m m m'
_symmetry_Int_Tables_number 65
_symmetry_space_group_name_Hall '-C 2 2'
loop_
_atom_site_label
_atom_site_type_symbol
_atom_site_fract_x
_atom_site_fract_y
_atom_site_fract_z
Li1 Li 0.2500 0.2500 0.0000
La1 La 0.0000 0.0000 0.5000
Pt1 Pt 0.0000 0.5000 0.5000
```


no.,density of states at the Fermi level (states/eV/f.u.),total magnetization (μB per formula unit),VASP energy (eV per atom)
1,1.96,0.00,-4.51
2,4.44,0.00,-3.53
3,8.00,0.00,-5.20
4,1.72,0.00,-4.20